# Pm4DyHo2 (PBE, optimized geometry)
# Size of the total moment = 0.00 μB/cell
# Distance to the lowest polymorph of the same formula = 6.7 kJ/mol of atoms
# Formation enthalpy at 0 K = 126 meV per atom
# DFT total energy = -4.554 eV per atom
data_Pm4DyHo2
_chemical_formula_sum 'Pm8 Dy2 Ho4'
_space_group_name_H-M_alt 'P 1'
_space_group_IT_number 1
_space_group_name_Hall 'P 1'
_cell_length_a 6.2201
_cell_length_b 6.6198
_cell_length_c 11.6118
_cell_angle_alpha 90.00
_cell_angle_beta 104.81
_cell_angle_gamma 90.00
loop_
_atom_site_label
_atom_site_type_symbol
_atom_site_fract_x
_atom_site_fract_y
_atom_site_fract_z
Pm1 Pm 0.3516 0.0090 0.7147
Pm2 Pm 0.9615 0.2500 0.1365
Pm3 Pm 0.3516 0.4910 0.7147
Pm4 Pm 0.6484 0.5090 0.2853
Pm5 Pm 0.0385 0.7500 0.8635
Pm6 Pm 0.8503 0.2500 0.5499
Pm7 Pm 0.6484 0.9910 0.2853
Pm8 Pm 0.1497 0.7500 0.4501
Ho1 Ho 0.2891 0.2500 0.4240
Ho2 Ho 0.7109 0.7500 0.5760
Ho3 Ho 0.3919 0.2500 0.0047
Ho4 Ho 0.6081 0.7500 0.9953
Dy1 Dy 0.1517 0.7500 0.1633
Dy2 Dy 0.8483 0.2500 0.8367

***

# YAgPS2 (PBE, optimized geometry)
# Size of the total moment = 1.43 μB/cell
# Energy relative to the elements, uncorrected = 131 meV per atom
# Distance to the lowest polymorph of the same formula = 17.1 kJ/mol of atoms
# DFT total energy = -4.465 eV per atom
data_YAgPS2
_chemical_formula_sum 'Y1 Ag1 P1 S2'
_space_group_name_H-M_alt 'P 1'
_space_group_IT_number 1
_space_group_name_Hall 'P 1'
_cell_length_a 5.2241
_cell_length_b 5.2241
_cell_length_c 5.3729
_cell_angle_alpha 90.00
_cell_angle_beta 90.00
_cell_angle_gamma 90.00
loop_
_atom_site_label
_atom_site_type_symbol
_atom_site_fract_x
_atom_site_fract_y
_atom_site_fract_z
S1 S 0.0000 0.5000 0.0000
S2 S 0.5000 0.0000 0.0000
P1 P 0.0000 0.0000 0.5000
Y1 Y 0.0000 0.0000 0.0000
Ag1 Ag 0.5000 0.5000 0.5000

***

# LaCe2Bi2 (PBE, optimized geometry)
# Size of the total moment = 2.92 μB/cell
# Formation enthalpy at 0 K = -528 meV per atom
# DFT total energy = -5.440 eV per atom
data_LaCe2Bi2
_chemical_formula_sum 'La2 Ce4 Bi4'
_space_group_name_H-M_alt 'P 1'
_space_group_IT_number 1
_space_group_name_Hall 'P 1'
_cell_length_a 8.3841
_cell_length_b 8.3841
_cell_length_c 6.3157
_cell_angle_alpha 112.14
_cell_angle_beta 112.14
_cell_angle_gamma 99.29
loop_
_atom_site_label
_atom_site_type_symbol
_atom_site_fract_x
_atom_site_fract_y
_atom_site_fract_z
La1 La 0.8860 0.6140 0.7500
La2 La 0.1140 0.3860 0.2500
Ce1 Ce 0.7591 0.0363 0.3977
Ce2 Ce 0.5363 0.2591 0.8977
Ce3 Ce 0.2409 0.9637 0.6023
Ce4 Ce 0.4637 0.7409 0.1023
Bi1 Bi 0.6234 0.8766 0.7500
Bi2 Bi 0.3766 0.1234 0.2500
Bi3 Bi 0.8477 0.6523 0.2500
Bi4 Bi 0.1523 0.3477 0.7500

***

# Ta5Mo2 (PBE, optimized geometry)
# Size of the total moment = 0.00 μB/cell
# Distance to the lowest polymorph of the same formula = 6.8 kJ/mol of atoms
# Formation enthalpy at 0 K = -69 meV per atom
# DFT total energy = -11.629 eV per atom
data_Ta5Mo2
_chemical_formula_sum 'Ta5 Mo2'
_space_group_name_H-M_alt 'P 1'
_space_group_IT_number 1
_space_group_name_Hall 'P 1'
_cell_length_a 11.8439
_cell_length_b 11.8439
_cell_length_c 11.8439
_cell_angle_alpha 164.25
_cell_angle_beta 164.25
_cell_angle_gamma 22.35
loop_
_atom_site_label
_atom_site_type_symbol
_atom_site_fract_x
_atom_site_fract_y
_atom_site_fract_z
Ta1 Ta 0.7125 0.7125 0.0000
Ta2 Ta 0.1386 0.1386 0.0000
Ta3 Ta 0.2857 0.2857 0.0000
Ta4 Ta 0.4328 0.4328 0.0000
Ta5 Ta 0.8589 0.8589 0.0000
Mo1 Mo 0.0026 0.0026 0.0000
Mo2 Mo 0.5688 0.5688 0.0000

***

# KPbCl6 (PBE, optimized geometry)
# Size of the total moment = 0.93 μB/cell
# Energy relative to the elements, uncorrected = -768 meV per atom
# DFT total energy = -2.754 eV per atom
data_KPbCl6
_chemical_formula_sum 'K1 Pb1 Cl6'
_space_group_name_H-M_alt 'P 1'
_space_group_IT_number 1
_space_group_name_Hall 'P 1'
_cell_length_a 6.3415
_cell_length_b 6.3415
_cell_length_c 6.3415
_cell_angle_alpha 98.34
_cell_angle_beta 98.34
_cell_angle_gamma 98.34
loop_
_atom_site_label
_atom_site_type_symbol
_atom_site_fract_x
_atom_site_fract_y
_atom_site_fract_z
Pb1 Pb 0.5000 0.5000 0.5000
Cl1 Cl 0.5767 0.2083 0.2083
Cl2 Cl 0.2083 0.2083 0.5767
Cl3 Cl 0.7917 0.7917 0.4233
Cl4 Cl 0.7917 0.4233 0.7917
Cl5 Cl 0.2083 0.5767 0.2083
Cl6 Cl 0.4233 0.7917 0.7917
K1 K 0.0000 0.0000 0.0000

***

# NaIO2F (PBE, optimized geometry)
# Size of the total moment = 0.00 μB/cell
# Energy relative to the elements, uncorrected = -880 meV per atom
# DFT total energy = -3.812 eV per atom
data_NaIO2F
_chemical_formula_sum 'Na1 I1 O2 F1'
_space_group_name_H-M_alt 'P 1'
_space_group_IT_number 1
_space_group_name_Hall 'P 1'
_cell_length_a 4.0562
_cell_length_b 4.0562
_cell_length_c 5.3468
_cell_angle_alpha 90.00
_cell_angle_beta 90.00
_cell_angle_gamma 90.00
loop_
_atom_site_label
_atom_site_type_symbol
_atom_site_fract_x
_atom_site_fract_y
_atom_site_fract_z
Na1 Na 0.5000 0.5000 0.5000
O1 O 0.5000 0.0000 0.0000
O2 O 0.0000 0.5000 0.0000
I1 I 0.0000 0.0000 0.0000
F1 F 0.0000 0.0000 0.5000

***

# CdOs2Ru2 (PBE, optimized geometry)
# Size of the total moment = 0.00 μB/cell
# Distance to the lowest polymorph of the same formula = 0.0 kJ/mol of atoms
# Formation enthalpy at 0 K = 343 meV per atom
# DFT total energy = -8.042 eV per atom
data_CdOs2Ru2
_chemical_formula_sum 'Cd2 Os4 Ru4'
_space_group_name_H-M_alt 'P 1'
_space_group_IT_number 1
_space_group_name_Hall 'P 1'
_cell_length_a 7.5991
_cell_length_b 7.5991
_cell_length_c 2.7639
_cell_angle_alpha 90.00
_cell_angle_beta 90.00
_cell_angle_gamma 90.00
loop_
_atom_site_label
_atom_site_type_symbol
_atom_site_fract_x
_atom_site_fract_y
_atom_site_fract_z
Ru1 Ru 0.1696 0.6696 0.5000
Ru2 Ru 0.3304 0.1696 0.5000
Ru3 Ru 0.8304 0.3304 0.5000
Ru4 Ru 0.6696 0.8304 0.5000
Os1 Os 0.1209 0.3791 0.0000
Os2 Os 0.8791 0.6209 0.0000
Os3 Os 0.6209 0.1209 0.0000
Os4 Os 0.3791 0.8791 0.0000
Cd1 Cd 0.0000 0.0000 0.0000
Cd2 Cd 0.5000 0.5000 0.0000

***

# K2ZrAg (PBE, optimized geometry)
# Size of the total moment = 1.72 μB/cell
# Distance to the lowest polymorph of the same formula = 37.6 kJ/mol of atoms
# Formation enthalpy at 0 K = 783 meV per atom
# DFT total energy = -2.616 eV per atom
data_K2ZrAg
_chemical_formula_sum 'K2 Zr1 Ag1'
_space_group_name_H-M_alt 'P 1'
_space_group_IT_number 1
_space_group_name_Hall 'P 1'
_cell_length_a 6.1786
_cell_length_b 4.4344
_cell_length_c 4.4344
_cell_angle_alpha 90.00
_cell_angle_beta 90.00
_cell_angle_gamma 90.00
loop_
_atom_site_label
_atom_site_type_symbol
_atom_site_fract_x
_atom_site_fract_y
_atom_site_fract_z
Ag1 Ag 0.5000 0.0000 0.5000
K1 K 0.0000 0.5000 0.5000
K2 K 0.0000 0.0000 0.0000
Zr1 Zr 0.5000 0.5000 0.0000